Entry 1:
CePuHf2, optimized geometry, DFT GGA-PBE; energy of formation = 12.3 kJ per mole of atoms; density of states at the Fermi level = 8.1 states/eV/cell; polymorph energy (0 for the lowest one) = 0.0 meV per atom; M_tot = 5.8 Bohr magnetons per cell; SG = P4/mmm (123)
1.0
4.459 0.000 0.000
0.000 4.459 0.000
0.000 0.000 4.848
Ce Pu Hf
1 1 2
direct
0.000 0.000 0.000 Ce
0.500 0.500 0.000 Pu
0.000 0.500 0.500 Hf
0.500 0.000 0.500 Hf

Entry 2:
Tb2CeZrP4, optimized geometry, DFT GGA-PBE; energy of formation = -145.8 kJ per mole of atoms; density of states at the Fermi level = 5.6 states/eV/cell; M_tot = 0.3 Bohr magnetons per cell; SG = P2/m (10)
1.0
6.855 0.000 0.000
0.000 3.960 0.000
-2.267 0.000 6.478
Tb Ce Zr P
2 1 1 4
direct
0.000 0.000 0.000 Tb
0.000 0.500 0.500 Tb
0.500 0.000 0.500 Ce
0.500 0.500 0.000 Zr
0.255 0.500 0.242 P
0.261 0.000 0.762 P
0.739 0.000 0.238 P
0.745 0.500 0.758 P

Entry 3:
Sc2HgWC, optimized geometry, DFT GGA-PBE; energy of formation = -25.3 kJ per mole of atoms; density of states at the Fermi level = 3.9 states/eV/cell; M_tot = 0.5 Bohr magnetons per cell; SG = P4/mmm (123)
1.0
4.539 0.000 0.000
0.000 4.539 0.000
0.000 0.000 4.155
Sc Hg W C
2 1 1 1
direct
0.000 0.500 0.000 Sc
0.500 0.000 0.000 Sc
0.000 0.000 0.500 Hg
0.500 0.500 0.500 W
0.500 0.500 0.000 C

Entry 4:
LiGa4Pd4, optimized geometry, DFT GGA-PBE; energy of formation = -44.7 kJ per mole of atoms; density of states at the Fermi level = 7.0 states/eV/cell; M_tot = 0.0 Bohr magnetons per cell; SG = P4_2/nmc (137)
1.0
6.168 0.000 0.000
0.000 6.168 0.000
0.000 0.000 8.407
Li Ga Pd
2 8 8
direct
0.250 0.750 0.250 Li
0.750 0.250 0.750 Li
0.033 0.250 0.052 Ga
0.250 0.033 0.552 Ga
0.250 0.467 0.552 Ga
0.467 0.250 0.052 Ga
0.533 0.750 0.948 Ga
0.750 0.533 0.448 Ga
0.750 0.967 0.448 Ga
0.967 0.750 0.948 Ga
0.018 0.250 0.356 Pd
0.250 0.018 0.856 Pd
0.250 0.482 0.856 Pd
0.482 0.250 0.356 Pd
0.518 0.750 0.644 Pd
0.750 0.518 0.144 Pd
0.750 0.982 0.144 Pd
0.982 0.750 0.644 Pd

Entry 5:
Fe2NiSe, optimized geometry, DFT GGA-PBE; density of states at the Fermi level = 2.8 states/eV/cell; energy relative to the elements, uncorrected = 0.118 eV per atom; M_tot = 5.5 Bohr magnetons per cell; SG = P4mm (99)
1.0
3.086 0.000 0.000
0.000 3.086 0.000
0.000 0.000 5.431
Fe Ni Se
2 1 1
direct
0.000 0.000 0.000 Fe
0.500 0.500 0.250 Fe
0.000 0.000 0.481 Ni
0.500 0.500 0.757 Se

Entry 6:
HfZr2Cd, optimized geometry, DFT GGA-PBE; energy of formation = -4.5 kJ per mole of atoms; density of states at the Fermi level = 3.9 states/eV/cell; M_tot = 0.0 Bohr magnetons per cell; SG = Pmmm (47)
1.0
3.210 0.000 0.000
0.000 4.249 0.000
0.000 0.000 6.548
Hf Zr Cd
1 2 1
direct
0.000 0.000 0.000 Hf
0.500 0.500 0.245 Zr
0.500 0.500 0.755 Zr
0.000 0.000 0.500 Cd

Entry 7:
ReSb3Te, optimized geometry, DFT GGA-PBE; density of states at the Fermi level = 4.3 states/eV/cell; energy relative to the elements, uncorrected = 0.472 eV per atom; polymorph energy (0 for the lowest one) = 0.0 meV per atom; M_tot = 0.0 Bohr magnetons per cell; SG = Pm-3m (221)
1.0
5.193 0.000 0.000
0.000 5.193 0.000
0.000 0.000 5.193
Re Sb Te
1 3 1
direct
0.000 0.000 0.000 Re
0.000 0.000 0.500 Sb
0.000 0.500 0.000 Sb
0.500 0.000 0.000 Sb
0.500 0.500 0.500 Te

Entry 8:
CsCd4Au, optimized geometry, DFT GGA-PBE; energy of formation = -6.1 kJ per mole of atoms; density of states at the Fermi level = 5.2 states/eV/cell; polymorph energy (0 for the lowest one) = 35.3 meV per atom; M_tot = 0.0 Bohr magnetons per cell; SG = Cmcm (63)
1.0
2.404 -9.299 0.000
2.404 9.299 0.000
0.000 0.000 8.065
Cs Cd Au
2 8 2
direct
0.118 0.882 0.750 Cs
0.882 0.118 0.250 Cs
0.077 0.923 0.250 Cd
0.308 0.692 0.562 Cd
0.308 0.692 0.938 Cd
0.500 0.500 0.000 Cd
0.500 0.500 0.500 Cd
0.692 0.308 0.062 Cd
0.692 0.308 0.438 Cd
0.923 0.077 0.750 Cd
0.230 0.770 0.250 Au
0.770 0.230 0.750 Au

Entry 9:
Ta2Zn2I, optimized geometry, DFT GGA-PBE; density of states at the Fermi level = 8.2 states/eV/cell; energy relative to the elements, uncorrected = 0.663 eV per atom; polymorph energy (0 for the lowest one) = 0.0 meV per atom; M_tot = 0.0 Bohr magnetons per cell; SG = I4/mmm (139)
1.0
3.761 0.000 0.000
0.000 3.761 0.000
0.000 0.000 16.641
Ta Zn I
4 4 2
direct
0.000 0.500 0.250 Ta
0.000 0.500 0.750 Ta
0.500 0.000 0.250 Ta
0.500 0.000 0.750 Ta
0.000 0.000 0.118 Zn
0.000 0.000 0.882 Zn
0.500 0.500 0.382 Zn
0.500 0.500 0.618 Zn
0.000 0.000 0.500 I
0.500 0.500 0.000 I

Entry 10:
Be2NbCdCl, optimized geometry, DFT GGA-PBE; density of states at the Fermi level = 5.8 states/eV/cell; energy relative to the elements, uncorrected = 1.413 eV per atom; polymorph energy (0 for the lowest one) = 250.1 meV per atom; M_tot = 2.7 Bohr magnetons per cell; SG = P4/mmm (123)
1.0
4.733 0.000 0.000
0.000 4.733 0.000
0.000 0.000 5.776
Be Nb Cd Cl
2 1 1 1
direct
0.000 0.500 0.000 Be
0.500 0.000 0.000 Be
0.000 0.000 0.000 Nb
0.000 0.000 0.500 Cd
0.500 0.500 0.500 Cl

Entry 11:
TaNb, optimized geometry, DFT GGA-PBE; energy of formation = -0.3 kJ per mole of atoms; density of states at the Fermi level = 6.6 states/eV/cell; polymorph energy (0 for the lowest one) = 6.4 meV per atom; M_tot = 0.0 Bohr magnetons per cell; SG = Cmmm (65)
1.0
3.307 0.000 0.000
0.000 4.714 0.000
0.000 0.000 4.692
Ta Nb
2 2
direct
0.000 0.000 0.000 Ta
0.500 0.500 0.000 Ta
0.000 0.500 0.500 Nb
0.500 0.000 0.500 Nb

Entry 12:
Tl2InSe, optimized geometry, DFT GGA-PBE; density of states at the Fermi level = 2.8 states/eV/cell; energy relative to the elements, uncorrected = -0.141 eV per atom; polymorph energy (0 for the lowest one) = 86.9 meV per atom; M_tot = 0.0 Bohr magnetons per cell; SG = R-3m (166)
1.0
4.100 0.000 0.000
-2.050 3.551 0.000
0.000 0.000 25.860
Tl In Se
6 3 3
direct
0.000 0.000 0.238 Tl
0.000 0.000 0.762 Tl
0.333 0.667 0.428 Tl
0.333 0.667 0.905 Tl
0.667 0.333 0.095 Tl
0.667 0.333 0.572 Tl
0.000 0.000 0.000 In
0.333 0.667 0.667 In
0.667 0.333 0.333 In
0.000 0.000 0.500 Se
0.333 0.667 0.167 Se
0.667 0.333 0.833 Se

Entry 13:
PmCuRe, optimized geometry, DFT GGA-PBE; energy of formation = 15.1 kJ per mole of atoms; density of states at the Fermi level = 2.6 states/eV/cell; M_tot = 0.0 Bohr magnetons per cell; SG = Fmmm (69)
1.0
0.000 3.519 8.591
2.266 0.000 8.591
2.266 3.519 0.000
Pm Cu Re
2 2 2
direct
0.123 0.123 0.877 Pm
0.877 0.877 0.123 Pm
0.250 0.250 0.250 Cu
0.750 0.750 0.750 Cu
0.328 0.672 0.328 Re
0.672 0.328 0.672 Re

Entry 14:
TaZnAs2, optimized geometry, DFT GGA-PBE; energy of formation = 11.0 kJ per mole of atoms; density of states at the Fermi level = 10.8 states/eV/cell; M_tot = 0.0 Bohr magnetons per cell; SG = I-42d (122)
1.0
5.891 0.000 0.000
0.000 5.891 0.000
0.000 0.000 11.253
Ta Zn As
4 4 8
direct
0.000 0.000 0.000 Ta
0.000 0.500 0.250 Ta
0.500 0.000 0.750 Ta
0.500 0.500 0.500 Ta
0.000 0.000 0.500 Zn
0.000 0.500 0.750 Zn
0.500 0.000 0.250 Zn
0.500 0.500 0.000 Zn
0.249 0.250 0.125 As
0.250 0.749 0.375 As
0.250 0.751 0.875 As
0.251 0.250 0.625 As
0.749 0.750 0.625 As
0.750 0.249 0.875 As
0.750 0.251 0.375 As
0.751 0.750 0.125 As

Entry 15:
CaSmEuCd, optimized geometry, DFT GGA-PBE; energy of formation = -2.8 kJ per mole of atoms; density of states at the Fermi level = 33.9 states/eV/cell; M_tot = 31.0 Bohr magnetons per cell; SG = F-43m (216)
1.0
8.047 0.000 0.000
0.000 8.047 0.000
0.000 0.000 8.047
Ca Sm Eu Cd
4 4 4 4
direct
0.000 0.000 0.000 Ca
0.000 0.500 0.500 Ca
0.500 0.000 0.500 Ca
0.500 0.500 0.000 Ca
0.250 0.250 0.750 Sm
0.250 0.750 0.250 Sm
0.750 0.250 0.250 Sm
0.750 0.750 0.750 Sm
0.250 0.250 0.250 Eu
0.250 0.750 0.750 Eu
0.750 0.250 0.750 Eu
0.750 0.750 0.250 Eu
0.000 0.000 0.500 Cd
0.000 0.500 0.000 Cd
0.500 0.000 0.000 Cd
0.500 0.500 0.500 Cd

Entry 16:
RbGeP2O, optimized geometry, DFT GGA-PBE; density of states at the Fermi level = 3.8 states/eV/cell; energy relative to the elements, uncorrected = 0.251 eV per atom; polymorph energy (0 for the lowest one) = 0.0 meV per atom; M_tot = 0.0 Bohr magnetons per cell; SG = P4/mmm (123)
1.0
5.319 0.000 0.000
0.000 5.319 0.000
0.000 0.000 3.710
Rb Ge P O
1 1 2 1
direct
0.000 0.000 0.000 Rb
0.500 0.500 0.500 Ge
0.000 0.500 0.500 P
0.500 0.000 0.500 P
0.500 0.500 0.000 O

Entry 17:
HfFe2Pd, optimized geometry, DFT GGA-PBE; energy of formation = 18.0 kJ per mole of atoms; density of states at the Fermi level = 15.2 states/eV/cell; M_tot = 18.2 Bohr magnetons per cell; SG = I-42d (122)
1.0
3.714 0.000 0.000
0.000 3.714 0.000
0.000 0.000 18.769
Hf Fe Pd
4 8 4
direct
0.000 0.000 0.000 Hf
0.000 0.500 0.250 Hf
0.500 0.000 0.750 Hf
0.500 0.500 0.500 Hf
0.249 0.250 0.625 Fe
0.250 0.749 0.875 Fe
0.250 0.751 0.375 Fe
0.251 0.250 0.125 Fe
0.749 0.750 0.125 Fe
0.750 0.249 0.375 Fe
0.750 0.251 0.875 Fe
0.751 0.750 0.625 Fe
0.000 0.000 0.500 Pd
0.000 0.500 0.750 Pd
0.500 0.000 0.250 Pd
0.500 0.500 0.000 Pd

Entry 18:
ZrBeOs2, optimized geometry, DFT GGA-PBE; energy of formation = 4.1 kJ per mole of atoms; density of states at the Fermi level = 3.1 states/eV/cell; M_tot = 0.0 Bohr magnetons per cell; SG = P4mm (99)
1.0
3.089 0.000 0.000
0.000 3.089 0.000
0.000 0.000 6.256
Zr Be Os
1 1 2
direct
0.000 0.000 0.000 Zr
0.500 0.500 0.307 Be
0.000 0.000 0.439 Os
0.500 0.500 0.724 Os

Entry 19:
Er2AlGa3Pd4, optimized geometry, DFT GGA-PBE; energy of formation = -76.9 kJ per mole of atoms; density of states at the Fermi level = 6.7 states/eV/cell; M_tot = 0.0 Bohr magnetons per cell; SG = P-4m2 (115)
1.0
4.028 0.000 0.000
0.000 4.028 0.000
0.000 0.000 11.319
Er Al Ga Pd
2 1 3 4
direct
0.000 0.500 0.250 Er
0.500 0.000 0.750 Er
0.000 0.000 0.500 Al
0.000 0.500 0.864 Ga
0.500 0.000 0.136 Ga
0.500 0.500 0.500 Ga
0.000 0.000 0.000 Pd
0.000 0.500 0.644 Pd
0.500 0.000 0.356 Pd
0.500 0.500 0.000 Pd

Entry 20:
TbNd6Y3Er2, optimized geometry, DFT GGA-PBE; energy of formation = 1.0 kJ per mole of atoms; density of states at the Fermi level = 13.7 states/eV/cell; M_tot = 0.0 Bohr magnetons per cell; SG = C2/m (12)
1.0
3.140 -5.438 0.000
3.140 5.438 0.000
-2.087 0.000 11.677
Tb Nd Y Er
1 6 3 2
direct
0.000 0.000 0.000 Tb
0.083 0.417 0.249 Nd
0.250 0.250 0.751 Nd
0.417 0.083 0.249 Nd
0.583 0.917 0.751 Nd
0.750 0.750 0.249 Nd
0.917 0.583 0.751 Nd
0.167 0.833 0.500 Y
0.500 0.500 0.500 Y
0.833 0.167 0.500 Y
0.333 0.667 0.000 Er
0.667 0.333 0.000 Er